Record 1
# NaNbHg

A relaxed structure of NaNbHg (PBE, Alexandria via LeMat-Bulk).

Output
The calculation puts the total energy at -3.29 eV per atom. Its space group is P6_3/mmc (194). The calculated volume comes out at 62.3 Å³/f.u.

a b c (Å): 4.9440 4.9440 5.8837
angles (deg): 90.00 90.00 120.00
Element x y z (fractional)
1 Hg 0.6667 0.3333 0.2500
2 Na 0.0000 0.0000 0.5000
3 Nb 0.3333 0.6667 0.2500
4 Hg 0.3333 0.6667 0.7500
5 Nb 0.6667 0.3333 0.7500
6 Na 0.0000 0.0000 0.0000

***

Record 2
# Li2Sm2Si4Ni

A relaxed structure of Li2Sm2Si4Ni (PBE, Alexandria via LeMat-Bulk).

Output
The calculation puts the total energy at -5.03 eV per atom. Its space group is I4/mmm (139). The calculated volume comes out at 152.0 Å³/f.u. Its uncorrected formation energy is -499 meV/atom.

a b c (Å): 6.0486 6.0486 6.0486
angles (deg): 86.93 121.79 121.79
Element x y z (fractional)
1 Si 0.4348 0.7174 0.7174
2 Si 0.0000 0.2826 0.7174
3 Li 0.0000 0.2821 0.2821
4 Li 0.0000 0.7179 0.7179
5 Sm 0.5000 0.7500 0.2500
6 Si 0.0000 0.7174 0.2826
7 Sm 0.5000 0.2500 0.7500
8 Si 0.5652 0.2826 0.2826
9 Ni 0.0000 0.0000 0.0000

***

Record 3
# TmNbBi2

A relaxed structure of TmNbBi2 (PBE, Alexandria via LeMat-Bulk).

Output
The calculation puts the total energy at -5.41 eV per atom. Its space group is R-3m (166). The calculated volume comes out at 114.5 Å³/f.u.

a b c (Å): 3.5404 3.5404 10.7422
angles (deg): 80.51 80.51 60.00
Element x y z (fractional)
1 Nb 0.5000 0.5000 0.5000
2 Bi 0.0997 0.0997 0.7008
3 Bi 0.9003 0.9003 0.2992
4 Tm 0.0000 0.0000 0.0000

***

Quick rundown of magnetization, same order as above: 0.000 0.000 0.000 μB per formula unit
Quick rundown of DOS at the Fermi energy, same order as above: 2.2 3.1 3.3 states/eV/cell